No. 1
A geometry-optimized AlP2Pb structure, computed with PBE.

Results
As for the density of states at the Fermi level: 0.624 states/eV/atom. For the formation energy, the calculation gives 0.431 eV per atom. As for the offset from the most stable computed form: 12.30 kcal/mol of atoms. The calculation puts the total magnetization at 0.00 μB/atom.

a = 4.810 Å, b = 4.810 Å, c = 4.810 Å
α = 60.00°, β = 60.00°, γ = 60.00°
Positions (direct):
Al 0.000 0.000 0.000
P 0.250 0.250 0.250
P 0.750 0.750 0.750
Pb 0.500 0.500 0.500

No. 2
A geometry-optimized Ba4NaZr3O12 structure, computed with PBE.

Results
As for the density of states at the Fermi level: 0.532 states/eV/atom. Its uncorrected formation energy is -2.65 eV per atom. The calculation puts the total magnetization at 0.15 μB/atom.

a = 7.437 Å, b = 7.437 Å, c = 7.437 Å
α = 109.47°, β = 109.47°, γ = 109.47°
Positions (direct):
Ba 0.000 0.000 0.500
Ba 0.000 0.500 0.000
Ba 0.500 0.000 0.000
Ba 0.500 0.500 0.500
Na 0.000 0.000 0.000
Zr 0.000 0.500 0.500
Zr 0.500 0.000 0.500
Zr 0.500 0.500 0.000
O 0.000 0.263 0.263
O 0.000 0.737 0.737
O 0.250 0.500 0.750
O 0.250 0.750 0.500
O 0.263 0.000 0.263
O 0.263 0.263 0.000
O 0.500 0.250 0.750
O 0.500 0.750 0.250
O 0.737 0.000 0.737
O 0.737 0.737 0.000
O 0.750 0.250 0.500
O 0.750 0.500 0.250

no.,raw total energy (eV/cell)
1,-16.55
2,-147.19